Below is crystalline CeZrSi2Rh5 at its relaxed geometry, with properties calculated at the GGA-PBE level.

Formation energy from raw total energies in eV per formula unit: -5.59

a = 3.9974 Å, b = 3.9974 Å, c = 10.8031 Å
α = 90.00°, β = 90.00°, γ = 90.00°
Last column: magnetic moment on the atom in μB.
Atoms (fractional coordinates):
Rh 0.0000 0.5000 0.8271  -0.01
Rh 0.5000 0.0000 0.1729  -0.01
Rh 0.5000 0.5000 0.5000  -0.05
Si 0.5000 0.5000 0.7165  0.00
Rh 0.0000 0.5000 0.1729  -0.01
Zr 0.0000 0.0000 0.0000  0.00
Ce 0.0000 0.0000 0.5000  0.51
Si 0.5000 0.5000 0.2835  0.00
Rh 0.5000 0.0000 0.8271  -0.01

Below is crystalline Ce2Sm3Rh2 at its relaxed geometry, with properties calculated at the GGA-PBE level.

ΔH_f (0 K) in eV/atom: -0.46

a = 3.7641 Å, b = 6.3579 Å, c = 8.8889 Å
α = 101.63°, β = 102.20°, γ = 107.24°
Last column: magnetic moment on the atom in μB.
Atoms (fractional coordinates):
Sm 0.5000 0.0000 0.0000  0.01
Rh 0.9485 0.1359 0.7612  -0.02
Ce 0.3500 0.5239 0.1757  0.47
Rh 0.0515 0.8641 0.2388  -0.02
Ce 0.6500 0.4761 0.8243  0.47
Sm 0.1879 0.8012 0.5743  0.03
Sm 0.8121 0.1988 0.4257  0.03

Below is crystalline CeSm2Rh2 at its relaxed geometry, with properties calculated at the GGA-PBE level.

Relative energy among the computed polymorphs in eV/f.u.: 0.00
ΔH_f (0 K) in eV/atom: -0.65

a = 6.4490 Å, b = 6.4490 Å, c = 7.3615 Å
α = 80.41°, β = 80.41°, γ = 56.59°
Atoms (fractional coordinates):
Ce 0.9184 0.0816 0.7500
Sm 0.7638 0.5503 0.3506
Sm 0.5503 0.7638 0.8506
Rh 0.7343 0.9541 0.5245
Ce 0.0816 0.9184 0.2500
Sm 0.4497 0.2362 0.1494
Rh 0.0459 0.2657 0.9755
Sm 0.2362 0.4497 0.6494
Rh 0.2657 0.0459 0.4755
Rh 0.9541 0.7343 0.0245

Below is crystalline Ce2SmRh at its relaxed geometry, with properties calculated at the GGA-PBE level.

Relative energy among the computed polymorphs in eV/f.u.: 0.01
ΔH_f (0 K) in eV/atom: -0.38

a = 3.7122 Å, b = 6.0567 Å, c = 9.8215 Å
α = 90.00°, β = 90.00°, γ = 107.81°
Last column: magnetic moment on the atom in μB.
Atoms (fractional coordinates):
Sm 0.5814 0.1623 0.7500  0.02
Ce 0.1380 0.2763 0.0554  0.27
Ce 0.1380 0.2763 0.4446  0.27
Rh 0.7021 0.4050 0.2500  -0.02
Ce 0.8620 0.7237 0.5554  0.27
Sm 0.4186 0.8377 0.2500  0.02
Rh 0.2979 0.5950 0.7500  -0.02
Ce 0.8620 0.7237 0.9446  0.27

Below is crystalline Ce2SmRh at its relaxed geometry, with properties calculated at the GGA-PBE level.

Relative energy among the computed polymorphs in eV/f.u.: 0.53
ΔH_f (0 K) in eV/atom: -0.25

a = 3.7791 Å, b = 3.7791 Å, c = 9.5340 Å
α = 78.57°, β = 78.57°, γ = 60.00°
Last column: magnetic moment on the atom in μB.
Atoms (fractional coordinates):
Rh 0.0000 0.0000 0.0000  -0.05
Ce 0.7293 0.7293 0.8120  0.53
Ce 0.2707 0.2707 0.1880  0.53
Sm 0.5000 0.5000 0.5000  0.01

Below is crystalline Ce2Sm2Rh3 at its relaxed geometry, with properties calculated at the GGA-PBE level.

Relative energy among the computed polymorphs in eV/f.u.: 0.60
ΔH_f (0 K) in eV/atom: -0.58

a = 4.2038 Å, b = 6.8735 Å, c = 6.9433 Å
α = 102.06°, β = 90.01°, γ = 107.81°
Last column: magnetic moment on the atom in μB.
Atoms (fractional coordinates):
Ce 0.1340 0.2680 0.3636  0.53
Ce 0.8660 0.7320 0.6364  0.53
Rh 0.2376 0.4750 0.7292  -0.04
Sm 0.6233 0.2465 0.8808  0.03
Rh 0.0000 0.0000 0.0000  -0.03
Rh 0.7624 0.5250 0.2708  -0.04
Sm 0.3767 0.7535 0.1192  0.03

Below is crystalline Ce2SmRh9 at its relaxed geometry, with properties calculated at the GGA-PBE level.

ΔH_f (0 K) in eV/atom: -0.56

a = 5.2737 Å, b = 5.2737 Å, c = 9.3499 Å
α = 73.62°, β = 73.62°, γ = 60.00°
Atoms (fractional coordinates):
Ce 0.8613 0.8613 0.4160
Rh 0.5840 0.0810 0.7510
Rh 0.9190 0.4160 0.2490
Rh 0.3330 0.3330 0.0010
Rh 0.4160 0.4160 0.2490
Rh 0.4160 0.9190 0.2490
Sm 0.0000 0.0000 0.0000
Ce 0.1387 0.1387 0.5840
Rh 0.5840 0.5840 0.7510
Rh 0.5000 0.5000 0.5000
Rh 0.6670 0.6670 0.9990
Rh 0.0810 0.5840 0.7510

Below is crystalline Ce5SmRh6 at its relaxed geometry, with properties calculated at the GGA-PBE level.

ΔH_f (0 K) in eV/atom: -0.68

a = 6.9505 Å, b = 6.9591 Å, c = 6.9702 Å
α = 60.05°, β = 80.40°, γ = 70.48°
Atoms (fractional coordinates):
Sm 0.0000 0.0000 0.0000
Rh 0.7456 0.0856 0.3443
Rh 0.2544 0.5701 0.3443
Ce 0.5000 0.8344 0.3313
Rh 0.2585 0.2577 0.0000
Rh 0.7456 0.4299 0.6557
Rh 0.7415 0.7423 0.0000
Rh 0.2544 0.9144 0.6557
Ce 0.0000 0.3329 0.3343
Ce 0.0000 0.6671 0.6657
Ce 0.5000 0.5000 0.0000
Ce 0.5000 0.1656 0.6687

Number 1: size of the total moment 0.47 μB/cell. Number 2: size of the total moment 1.26 μB/cell. Number 3: size of the total moment 0.00 μB/cell. Number 4: size of the total moment 1.38 μB/cell. Number 5: size of the total moment 1.32 μB/cell. Number 6: size of the total moment 1.35 μB/cell. Number 7: size of the total moment 0.00 μB/cell. Number 8: size of the total moment 0.00 μB/cell.